Record 1
Ca2TaCo after structural relaxation, computed with GGA-PBE.

Calculated values
offset from the most stable computed form = 640 meV/atom
space group = P2/m (10)
ΔE_f = 0.82 eV per atom

Cell lengths 4.8564, 3.0920, 5.9829 Å; angles 68.55, 90.00, 90.00 degrees
Fractional coordinates of all 4 atoms:
Ca (0.0000, 0.0701, 0.0125)
Ca (0.0000, 0.4299, 0.4875)
Ta (0.5000, 0.7500, 0.7500)
Co (0.5000, 0.2500, 0.2500)



Record 2
Ca2TaCo after structural relaxation, computed with GGA-PBE.

Calculated values
offset from the most stable computed form = 644 meV/atom
space group = Pmmm (47)
ΔE_f = 0.82 eV per atom

Cell lengths 3.0378, 4.8736, 5.6461 Å; angles 90.00, 90.00, 90.00 degrees
Fractional coordinates of all 4 atoms:
Ca (0.0000, 0.0000, 0.4897)
Ca (0.0000, 0.0000, 0.0103)
Ta (0.5000, 0.5000, 0.7500)
Co (0.5000, 0.5000, 0.2500)



Record 3
Ca2TaCo after structural relaxation, computed with GGA-PBE.

Calculated values
offset from the most stable computed form = 526 meV/atom
space group = P4/mmm (123)
ΔE_f = 0.71 eV per atom

Cell lengths 3.0433, 3.0433, 9.3449 Å; angles 90.00, 90.00, 90.00 degrees
Fractional coordinates of all 4 atoms:
Ca (0.0000, 0.0000, 0.4673)
Ca (0.0000, 0.0000, 0.0327)
Co (0.5000, 0.5000, 0.2500)
Ta (0.5000, 0.5000, 0.7500)



Record 4
CaTaCo after structural relaxation, computed with GGA-PBE.

Calculated values
offset from the most stable computed form = 225 meV/atom
space group = P3m1 (156)
ΔE_f = 0.45 eV per atom

Cell lengths 3.3979, 3.3979, 6.5228 Å; angles 90.00, 90.00, 120.00 degrees
Fractional coordinates of all 3 atoms:
Ta (0.6667, 0.3333, 0.5805)
Co (0.3333, 0.6667, 0.3801)
Ca (0.0000, 0.0000, 0.0395)



Record 5
Ca2TaCo after structural relaxation, computed with GGA-PBE.

Calculated values
offset from the most stable computed form = 621 meV/atom
space group = F-43m (216)
ΔE_f = 0.80 eV per atom

Cell lengths 4.8747, 4.8747, 4.8747 Å; angles 119.98, 119.98, 90.04 degrees
Fractional coordinates of all 4 atoms:
Ta (0.7500, 0.2500, 0.5000)
Ca (0.2500, 0.7500, 0.5000)
Ca (0.0000, 0.0000, 0.0000)
Co (0.5000, 0.5000, 0.0000)



Record 6
Ca2TaCo after structural relaxation, computed with GGA-PBE.

Calculated values
offset from the most stable computed form = 635 meV/atom
space group = I4/mmm (139)
ΔE_f = 0.82 eV per atom

Cell lengths 5.8429, 5.8429, 5.8429 Å; angles 140.25, 140.25, 57.48 degrees
Fractional coordinates of all 4 atoms:
Ta (0.7500, 0.2500, 0.5000)
Ca (0.5000, 0.5000, 0.0000)
Ca (0.0000, 0.0000, 0.0000)
Co (0.2500, 0.7500, 0.5000)



Record 7
Ca2TaCo after structural relaxation, computed with GGA-PBE.

Calculated values
offset from the most stable computed form = 604 meV/atom
space group = I-42d (122)
ΔE_f = 0.78 eV per atom

Cell lengths 10.4526, 10.4526, 7.7257 Å; angles 47.43, 47.43, 90.00 degrees
Fractional coordinates of all 8 atoms:
Co (0.5000, 0.5000, 0.0000)
Co (0.2500, 0.7500, 0.5000)
Ca (0.4668, 0.1250, 0.2500)
Ca (0.3750, 0.5332, 0.7500)
Ca (0.8750, 0.7168, 0.7500)
Ca (0.2832, 0.6250, 0.2500)
Ta (0.7500, 0.2500, 0.5000)
Ta (0.0000, 0.0000, 0.0000)



Record 8
CaTa4Co after structural relaxation, computed with GGA-PBE.

Calculated values
space group = F-43m (216)
ΔE_f = 0.68 eV per atom

Cell lengths 5.5380, 5.5380, 5.5380 Å; angles 60.00, 60.00, 60.00 degrees
Fractional coordinates of all 6 atoms:
Ca (0.7500, 0.7500, 0.7500)
Ta (0.3759, 0.3759, 0.3759)
Ta (0.3759, 0.8723, 0.3759)
Ta (0.8723, 0.3759, 0.3759)
Ta (0.3759, 0.3759, 0.8723)
Co (0.0000, 0.0000, 0.0000)



Record 9
Ca2TaCo after structural relaxation, computed with GGA-PBE.

Calculated values
offset from the most stable computed form = 145 meV/atom
space group = Immm (71)
ΔE_f = 0.32 eV per atom

Cell lengths 8.9061, 8.9061, 8.9061 Å; angles 159.23, 155.55, 32.29 degrees
Fractional coordinates of all 4 atoms:
Ca (0.0962, 0.0962, 0.0000)
Ca (0.4038, 0.4038, 0.0000)
Co (0.2500, 0.7500, 0.5000)
Ta (0.7500, 0.2500, 0.5000)



Record 10
Ca2TaCo after structural relaxation, computed with GGA-PBE.

Calculated values
offset from the most stable computed form = 663 meV/atom
space group = C2/m (12)
ΔE_f = 0.84 eV per atom

Cell lengths 5.6753, 5.6753, 3.0177 Å; angles 89.91, 89.91, 120.31 degrees
Fractional coordinates of all 4 atoms:
Co (0.5000, 0.0000, 0.5000)
Ta (0.0000, 0.5000, 0.5000)
Ca (0.5000, 0.5000, 0.0000)
Ca (0.0000, 0.0000, 0.0000)



Record 11
Ca2TaCo after structural relaxation, computed with GGA-PBE.

Calculated values
offset from the most stable computed form = 156 meV/atom
space group = R3m (160)
ΔE_f = 0.34 eV per atom

Cell lengths 9.5121, 9.5121, 9.5121 Å; angles 22.23, 22.23, 22.23 degrees
Fractional coordinates of all 4 atoms:
Ca (0.0153, 0.0153, 0.0153)
Ca (0.2209, 0.2209, 0.2209)
Ta (0.7797, 0.7797, 0.7797)
Co (0.4841, 0.4841, 0.4841)



Record 12
Ca2TaCo after structural relaxation, computed with GGA-PBE.

Calculated values
offset from the most stable computed form = 616 meV/atom
space group = Pmmm (47)
ΔE_f = 0.80 eV per atom

Cell lengths 3.7053, 4.2991, 5.0909 Å; angles 90.00, 90.00, 90.00 degrees
Fractional coordinates of all 4 atoms:
Ca (0.0000, 0.0000, 0.0000)
Ca (0.5000, 0.5000, 0.0000)
Co (0.5000, 0.0000, 0.5000)
Ta (0.0000, 0.5000, 0.5000)